Sm8Tm2Sc after structural relaxation, computed with PBE.

CIF file:
```
data_Sm8Tm2Sc
_cell_length_a 11.988
_cell_length_b 11.459
_cell_length_c 5.849
_cell_angle_alpha 90.00
_cell_angle_beta 103.32
_cell_angle_gamma 90.00
_symmetry_space_group_name_H-M 'C 1 2/m 1'
_symmetry_Int_Tables_number 12
loop_
_symmetry_equiv_pos_as_xyz
'x,y,z'
'-x,-y,-z'
'-x,y,-z'
'x,-y,z'
'x+1/2,y+1/2,z'
'-x+1/2,-y+1/2,-z'
'-x+1/2,y+1/2,-z'
'x+1/2,-y+1/2,z'
loop_
_atom_site_label
_atom_site_fract_x
_atom_site_fract_y
_atom_site_fract_z
Sm1 0.078 0.000 0.287
Sm2 0.105 0.256 0.788
Sm3 0.230 0.000 0.904
Tm1 0.134 0.500 0.507
Sc1 0.000 0.500 0.000
```

Properties
total magnetic moment	0.000	μB/atom
ΔE_f	0.42	eV per atom
distance to the lowest polymorph of the same formula	310	meV/atom
DFT total energy	-96.7	eV per cell
Fermi-level density of states	1.356	states/eV per atom